(1)
TeP3H after structural relaxation, computed with PBE.

Lattice parameters (Å, degrees): 4.210 4.210 4.210 90.00 90.00 90.00
Atoms (fractional coordinates):
Te: 0.000 0.000 0.000
P: 0.000 0.500 0.500
P: 0.500 0.000 0.500
P: 0.500 0.500 0.000
H: 0.500 0.500 0.500

Computed properties:
The value obtained for the density of states at the Fermi level is 3.4 states/eV/cell. As for the calculated volume: 14.919 Å³ per atom. The energy above the lowest structure with this stoichiometry is 0.00 kJ/mol of atoms. Its space group is Pm-3m (221).

=====

(2)
Te2PH after structural relaxation, computed with PBE.

Lattice parameters (Å, degrees): 7.416 7.416 7.416 31.96 31.96 31.96
Atoms (fractional coordinates):
Te: 0.093 0.093 0.093
Te: 0.907 0.907 0.907
P: 0.500 0.500 0.500
H: 0.000 0.000 0.000

Computed properties:
The value obtained for the density of states at the Fermi level is 0.0 states/eV/cell. As for the calculated volume: 25.381 Å³ per atom. The energy above the lowest structure with this stoichiometry is 0.00 kJ/mol of atoms. Its space group is R-3m (166).

=====

(3)
TlTeP2H6 after structural relaxation, computed with PBE.

Lattice parameters (Å, degrees): 7.086 7.086 7.156 91.06 91.06 114.51
Atoms (fractional coordinates):
Tl: 0.210 0.790 0.750
Tl: 0.790 0.210 0.250
Te: 0.313 0.687 0.250
Te: 0.687 0.313 0.750
P: 0.214 0.276 0.742
P: 0.276 0.214 0.242
P: 0.724 0.786 0.758
P: 0.786 0.724 0.258
H: 0.003 0.278 0.740
H: 0.278 0.003 0.240
H: 0.282 0.424 0.894
H: 0.282 0.425 0.599
H: 0.424 0.282 0.394
H: 0.425 0.282 0.099
H: 0.575 0.718 0.901
H: 0.576 0.718 0.606
H: 0.718 0.575 0.401
H: 0.718 0.576 0.106
H: 0.722 0.997 0.760
H: 0.997 0.722 0.260

Computed properties:
The value obtained for the density of states at the Fermi level is 4.1 states/eV/cell. As for the calculated volume: 16.337 Å³ per atom. The total energy comes out at -71.8 eV for the cell shown. Its space group is C2/c (15).

=====

(4)
Tm6Te3P2H after structural relaxation, computed with PBE.

Lattice parameters (Å, degrees): 9.149 9.149 8.311 106.32 106.32 25.48
Atoms (fractional coordinates):
Tm: 0.006 0.006 0.227
Tm: 0.324 0.324 0.441
Tm: 0.355 0.355 0.902
Tm: 0.645 0.645 0.098
Tm: 0.676 0.676 0.559
Tm: 0.994 0.994 0.773
Te: 0.173 0.173 0.837
Te: 0.500 0.500 0.500
Te: 0.827 0.827 0.163
P: 0.164 0.164 0.331
P: 0.836 0.836 0.669
H: 0.500 0.500 0.000

Computed properties:
The value obtained for the density of states at the Fermi level is 6.1 states/eV/cell. As for the calculated volume: 23.882 Å³ per atom. The total energy comes out at -64.5 eV for the cell shown. Its space group is C2/m (12).

=====

(5)
Th2PH after structural relaxation, computed with PBE.

Lattice parameters (Å, degrees): 6.978 6.978 6.978 32.20 32.20 32.20
Atoms (fractional coordinates):
Th: 0.245 0.245 0.245
Th: 0.755 0.755 0.755
P: 0.000 0.000 0.000
H: 0.500 0.500 0.500

Computed properties:
The value obtained for the density of states at the Fermi level is 3.0 states/eV/cell. As for the calculated volume: 21.443 Å³ per atom. The energy above the lowest structure with this stoichiometry is 0.00 kJ/mol of atoms. Its space group is R-3m (166).

=====

(6)
Th4P5H after structural relaxation, computed with PBE.

Lattice parameters (Å, degrees): 8.398 8.398 7.141 100.78 100.78 29.97
Atoms (fractional coordinates):
Th: 0.028 0.028 0.245
Th: 0.303 0.303 0.263
Th: 0.697 0.697 0.737
Th: 0.972 0.972 0.755
P: 0.145 0.145 0.978
P: 0.176 0.176 0.490
P: 0.500 0.500 0.500
P: 0.824 0.824 0.510
P: 0.855 0.855 0.022
H: 0.500 0.500 0.000

Computed properties:
The value obtained for the density of states at the Fermi level is 1.7 states/eV/cell. As for the calculated volume: 24.680 Å³ per atom. The total energy comes out at -69.9 eV for the cell shown. Its space group is C2/m (12).

=====

(7)
Th2PH after structural relaxation, computed with PBE.

Lattice parameters (Å, degrees): 7.240 7.240 7.240 30.69 30.69 30.69
Atoms (fractional coordinates):
Th: 0.000 0.000 0.000
Th: 0.165 0.165 0.165
P: 0.583 0.583 0.583
H: 0.759 0.759 0.759

Computed properties:
The value obtained for the density of states at the Fermi level is 3.5 states/eV/cell. As for the calculated volume: 21.925 Å³ per atom. The energy above the lowest structure with this stoichiometry is 15.13 kJ/mol of atoms. Its space group is R3m (160).

=====

(8)
Ti2PH2 after structural relaxation, computed with PBE.

Lattice parameters (Å, degrees): 5.699 5.291 5.041 66.90 58.65 54.44
Atoms (fractional coordinates):
Ti: 0.086 0.086 0.664
Ti: 0.336 0.336 0.914
Ti: 0.664 0.664 0.086
Ti: 0.914 0.914 0.336
P: 0.375 0.375 0.375
P: 0.625 0.625 0.625
H: 0.001 0.249 0.001
H: 0.249 0.001 0.249
H: 0.751 0.999 0.751
H: 0.999 0.751 0.999

Computed properties:
The value obtained for the density of states at the Fermi level is 3.6 states/eV/cell. As for the calculated volume: 10.473 Å³ per atom. The energy above the lowest structure with this stoichiometry is 6.26 kJ/mol of atoms. Its space group is Fddd (70).

=====

(9)
Ti4P2H after structural relaxation, computed with PBE.

Lattice parameters (Å, degrees): 7.223 7.223 7.223 150.52 150.52 42.17
Atoms (fractional coordinates):
Ti: 0.000 0.500 0.500
Ti: 0.177 0.177 0.000
Ti: 0.500 0.000 0.500
Ti: 0.823 0.823 0.000
P: 0.363 0.363 0.000
P: 0.637 0.637 0.000
H: 0.000 0.000 0.000

Computed properties:
The value obtained for the density of states at the Fermi level is 3.5 states/eV/cell. As for the calculated volume: 13.001 Å³ per atom. The energy above the lowest structure with this stoichiometry is 0.00 kJ/mol of atoms. Its space group is I4/mmm (139).

=====

(10)
Ti3PH2 after structural relaxation, computed with PBE.

Lattice parameters (Å, degrees): 5.992 5.992 3.899 90.00 90.00 103.77
Atoms (fractional coordinates):
Ti: 0.121 0.879 0.750
Ti: 0.158 0.425 0.750
Ti: 0.425 0.158 0.250
Ti: 0.575 0.842 0.750
Ti: 0.842 0.575 0.250
Ti: 0.879 0.121 0.250
P: 0.288 0.712 0.250
P: 0.712 0.288 0.750
H: 0.156 0.156 0.000
H: 0.156 0.156 0.500
H: 0.844 0.844 0.000
H: 0.844 0.844 0.500

Computed properties:
The value obtained for the density of states at the Fermi level is 6.2 states/eV/cell. As for the calculated volume: 11.331 Å³ per atom. The total energy comes out at -79.2 eV for the cell shown. Its space group is Cmcm (63).

=====

(11)
Ti2PH after structural relaxation, computed with PBE.

Lattice parameters (Å, degrees): 6.386 6.386 6.386 31.49 31.49 31.49
Atoms (fractional coordinates):
Ti: 0.094 0.094 0.094
Ti: 0.906 0.906 0.906
P: 0.500 0.500 0.500
H: 0.000 0.000 0.000

Computed properties:
The value obtained for the density of states at the Fermi level is 1.8 states/eV/cell. As for the calculated volume: 15.774 Å³ per atom. The total energy comes out at -26.2 eV for the cell shown. Its space group is R-3m (166).

=====

(12)
Ti3PH after structural relaxation, computed with PBE.

Lattice parameters (Å, degrees): 3.939 3.939 3.939 90.00 90.00 90.00
Atoms (fractional coordinates):
Ti: 0.000 0.000 0.500
Ti: 0.000 0.500 0.000
Ti: 0.500 0.000 0.000
P: 0.500 0.500 0.500
H: 0.000 0.000 0.000

Computed properties:
The value obtained for the density of states at the Fermi level is 4.3 states/eV/cell. As for the calculated volume: 12.221 Å³ per atom. The energy above the lowest structure with this stoichiometry is 5.00 kJ/mol of atoms. Its space group is Pm-3m (221).

=====

Q: Which formula does entry 5 have?
A: Th2PH

=====

Q: The lowest calculated volume belongs to which entry?
A: Ti2PH2